The following is a DFT calculation (PBE with a Hubbard U) of crystalline BaCaVF6 at its relaxed geometry.

Results
E_tot in eV/atom: -5.98

Cell lengths 5.818, 5.818, 11.117 Å; angles 90.00, 90.00, 120.00 degrees
Sites, in units of the cell vectors:
F  0.353  0.982  0.644
F  0.371  0.353  0.356
F  0.353  0.371  0.856
F  0.018  0.371  0.644
F  0.629  0.982  0.856
F  0.629  0.647  0.644
F  0.647  0.629  0.144
F  0.371  0.018  0.144
F  0.982  0.353  0.144
F  0.647  0.018  0.356
F  0.018  0.647  0.856
F  0.982  0.629  0.356
Ca  0.667  0.333  0.750
Ca  0.333  0.667  0.250
V  0.333  0.667  0.750
V  0.667  0.333  0.250
Ba  0.000  0.000  0.000
Ba  0.000  0.000  0.500